[1]
Compound: CaPuPa
Source: the Alexandria database
Functional: PBE
Structure: relaxed

Values from the calculation:
E_form   295 meV per atom
Total energy   -8.31 eV per atom
D(E_F)   2.205 states/eV/atom

abc: 4.5134 4.5134 11.8753
angles: 96.57 96.57 47.83
Fractional coordinates of all 6 atoms:
Ca (0.1579, 0.1579, 0.1257)
Ca (0.8421, 0.8421, 0.8743)
Pu (0.2322, 0.2322, 0.5566)
Pu (0.7678, 0.7678, 0.4434)
Pa (0.4767, 0.4767, 0.3520)
Pa (0.5233, 0.5233, 0.6480)

***

[2]
Compound: CaPu2PaSb4
Source: the Alexandria database
Functional: PBE
Structure: relaxed

Values from the calculation:
Uncorrected formation energy   -5.3 eV/f.u.
Total energy   -7.75 eV per atom
D(E_F)   3.565 states/eV/atom

abc: 7.6665 4.4548 7.6744
angles: 90.00 109.51 90.00
Fractional coordinates of all 8 atoms:
Ca (0.0000, 0.0000, 0.0000)
Pu (0.5000, 0.0000, 0.5000)
Pu (0.5000, 0.5000, 0.0000)
Pa (0.0000, 0.5000, 0.5000)
Sb (0.2456, 0.0000, 0.7426)
Sb (0.2511, 0.5000, 0.2595)
Sb (0.7489, 0.5000, 0.7405)
Sb (0.7544, 0.0000, 0.2574)

***

[3]
Compound: Rb3Ca2PaS6
Source: the Alexandria database
Functional: PBE
Structure: relaxed

Values from the calculation:
Uncorrected formation energy   -20.7 eV/f.u.
Total energy   -5.15 eV per atom
D(E_F)   0.000 states/eV/atom

abc: 7.1973 7.1973 8.0099
angles: 98.61 98.61 119.98
Fractional coordinates of all 12 atoms:
Rb (0.0000, 0.0000, 0.0000)
Rb (0.3278, 0.6722, 0.0000)
Rb (0.6722, 0.3278, 0.0000)
Ca (0.1662, 0.8338, 0.5000)
Ca (0.8338, 0.1662, 0.5000)
Pa (0.5000, 0.5000, 0.5000)
S (0.1241, 0.4360, 0.3081)
S (0.2537, 0.2537, 0.6934)
S (0.4360, 0.1241, 0.3081)
S (0.5640, 0.8759, 0.6919)
S (0.7463, 0.7463, 0.3066)
S (0.8759, 0.5640, 0.6919)

***

[4]
Compound: Rb4CaPa3S12
Source: the Alexandria database
Functional: PBE
Structure: relaxed

Values from the calculation:
Uncorrected formation energy   -27.6 eV/f.u.
Total energy   -5.57 eV per atom
D(E_F)   0.526 states/eV/atom

abc: 9.2308 9.2308 9.2308
angles: 109.47 109.47 109.47
Fractional coordinates of all 20 atoms:
Rb (0.0000, 0.0000, 0.5000)
Rb (0.0000, 0.5000, 0.0000)
Rb (0.5000, 0.0000, 0.0000)
Rb (0.5000, 0.5000, 0.5000)
Ca (0.0000, 0.0000, 0.0000)
Pa (0.0000, 0.5000, 0.5000)
Pa (0.5000, 0.0000, 0.5000)
Pa (0.5000, 0.5000, 0.0000)
S (0.0000, 0.2609, 0.2609)
S (0.0000, 0.7391, 0.7391)
S (0.2500, 0.5000, 0.7500)
S (0.2500, 0.7500, 0.5000)
S (0.2609, 0.0000, 0.2609)
S (0.2609, 0.2609, 0.0000)
S (0.5000, 0.2500, 0.7500)
S (0.5000, 0.7500, 0.2500)
S (0.7391, 0.0000, 0.7391)
S (0.7391, 0.7391, 0.0000)
S (0.7500, 0.2500, 0.5000)
S (0.7500, 0.5000, 0.2500)

***

What is the D(E_F) in the first record? 2.205 states/eV/atom

***

Look up the D(E_F) of the first one. 2.205 states/eV/atom

***

Which value of D(E_F) does entry 3 give? 0.000 states/eV/atom